Record 1
This record from Alexandria via LeMat-Bulk describes a relaxed Sm2InAgSe5 crystal. The functional is GGA-PBE.

Results
ΔE_f (raw) ... -1150 meV/atom
Size of the total moment ... 0.00 μB/cell

Cell lengths 4.1239, 9.2588, 11.9456 Å; angles 90.00, 90.00, 102.87 degrees
Last column: nearest neighbours and their distance in Å.
Element x y z (fractional)
Sm (0.8802, 0.7604, 0.8030)  8 Se 3.01-3.24
Sm (0.1237, 0.2475, 0.6797)  8 Se 3.02-3.20
Sm (0.1198, 0.2396, 0.3030)  8 Se 3.01-3.24
Sm (0.8763, 0.7525, 0.1797)  8 Se 3.02-3.20
In (0.5902, 0.1804, 0.9795)  4 Se 2.62-2.71
In (0.4098, 0.8196, 0.4795)  4 Se 2.62-2.71
Ag (0.7758, 0.5516, 0.5024)  3 Se 2.62-2.86
Ag (0.2242, 0.4484, 0.0024)  3 Se 2.62-2.86
Se (0.3691, 0.7382, 0.9948)  1 Ag 2.62
Se (0.7016, 0.4032, 0.8296)  1 In 2.69, 2 Ag 2.95
Se (0.5123, 0.0245, 0.7860)  1 In 2.71
Se (0.3007, 0.6015, 0.6645)  2 Ag 2.86, 1 In 2.96, 3 Sm 3.01-3.20
Se (0.9665, 0.9330, 0.5843)  2 In 2.62
Se (0.6309, 0.2618, 0.4948)  1 Ag 2.62
Se (0.2984, 0.5968, 0.3296)  1 In 2.69, 2 Ag 2.95
Se (0.4877, 0.9755, 0.2860)  1 In 2.71
Se (0.6993, 0.3985, 0.1645)  2 Ag 2.86, 1 In 2.96, 3 Sm 3.01-3.20
Se (0.0335, 0.0670, 0.0843)  2 In 2.62

***

Record 2
This record from Alexandria via LeMat-Bulk describes a relaxed Sm3InAg3Se8 crystal. The functional is GGA-PBE.

Results
ΔE_f (raw) ... -969 meV/atom
D(E_F) ... 8.2 states/eV/f.u.
Size of the total moment ... 0.00 μB/cell

Cell lengths 8.3992, 8.3944, 8.0776 Å; angles 121.46, 90.00, 120.02 degrees
Last column: nearest neighbours and their distance in Å.
Element x y z (fractional)
Sm (0.5000, 0.0000, 0.5000)  6 Se 2.91-2.96
Sm (0.5000, 0.5000, 0.5000)  6 Se 2.91-2.96
Sm (0.0000, 0.5000, 0.5000)  6 Se 2.91-2.96
In (0.0000, 0.0000, 0.5000)  6 Se 2.80-2.81
Ag (0.0000, 0.0000, 0.0000)  6 Se 2.87-2.90
Ag (0.0000, 0.5000, 0.0000)  6 Se 2.86-2.92
Ag (0.5000, 0.5000, 0.0000)  6 Se 2.86-2.92
Se (0.2499, 0.4997, 0.2507)  3 Ag 2.90-2.92, 3 Sm 2.91
Se (0.7501, 0.5003, 0.7493)  3 Ag 2.90-2.92, 3 Sm 2.91
Se (0.7585, 0.5170, 0.2517)  1 In 2.80, 2 Ag 2.87, 2 Sm 2.96
Se (0.2415, 0.4830, 0.7483)  1 In 2.80, 2 Ag 2.87, 2 Sm 2.96
Se (0.7584, 0.9921, 0.2516)  1 In 2.81, 2 Ag 2.86-2.87, 2 Sm 2.96
Se (0.2416, 0.0079, 0.7484)  1 In 2.81, 2 Ag 2.86-2.87, 2 Sm 2.96
Se (0.2337, 0.9921, 0.2516)  1 In 2.81, 2 Ag 2.86-2.87, 2 Sm 2.96
Se (0.7663, 0.0079, 0.7484)  1 In 2.81, 2 Ag 2.86-2.87, 2 Sm 2.96

***

Record 3
This record from Alexandria via LeMat-Bulk describes a relaxed InAgSnSe4 crystal. The functional is GGA-PBE.

Results
ΔE_f (raw) ... -372 meV/atom
D(E_F) ... 2.5 states/eV/f.u.
Size of the total moment ... 0.00 μB/cell

Cell lengths 8.1198, 8.1121, 8.1121 Å; angles 59.98, 59.97, 59.97 degrees
Last column: nearest neighbours and their distance in Å.
Element x y z (fractional)
In (0.0000, 0.0000, 0.0000)  6 Se 2.77-2.82
In (0.0000, 0.5000, 0.5000)  6 Se 2.77-2.82
Ag (0.6173, 0.6327, 0.1327)  4 Se 2.63-2.67
Ag (0.3827, 0.3673, 0.8673)  4 Se 2.63-2.67
Sn (0.5000, 0.0000, 0.5000)  6 Se 2.74-2.78
Sn (0.0000, 0.0000, 0.5000)  6 Se 2.74-2.78
Se (0.7545, 0.7611, 0.7299)  1 Ag 2.67, 2 Sn 2.78, 1 In 2.82
Se (0.2455, 0.7701, 0.7389)  1 Ag 2.67, 2 Sn 2.78, 1 In 2.82
Se (0.7545, 0.2299, 0.2611)  1 Ag 2.67, 2 Sn 2.78, 1 In 2.82
Se (0.2455, 0.2389, 0.2701)  1 Ag 2.67, 2 Sn 2.78, 1 In 2.82
Se (0.2211, 0.7617, 0.2617)  1 Ag 2.63, 1 Sn 2.74, 2 In 2.77
Se (0.7556, 0.7617, 0.2617)  1 Ag 2.63, 1 Sn 2.74, 2 In 2.77
Se (0.2444, 0.2383, 0.7383)  1 Ag 2.63, 1 Sn 2.74, 2 In 2.77
Se (0.7789, 0.2383, 0.7383)  1 Ag 2.63, 1 Sn 2.74, 2 In 2.77

***

Record 4
This record from Alexandria via LeMat-Bulk describes a relaxed InAgSnSe3 crystal. The functional is GGA-PBE.

Results
ΔE_f (raw) ... -308 meV/atom
D(E_F) ... 0.6 states/eV/f.u.
Size of the total moment ... 0.00 μB/cell

Cell lengths 4.1920, 7.8861, 10.0870 Å; angles 107.65, 90.00, 90.00 degrees
Last column: nearest neighbours and their distance in Å.
Element x y z (fractional)
In (0.2500, 0.1736, 0.6370)  5 Se 2.69-2.80
In (0.7500, 0.8264, 0.3630)  5 Se 2.69-2.80
Ag (0.2500, 0.6275, 0.0768)  5 Se 2.70-2.96, 2 Ag 2.99
Ag (0.7500, 0.3725, 0.9232)  5 Se 2.70-2.96, 2 Ag 2.99
Sn (0.2500, 0.2012, 0.1901)  5 Se 2.91-3.07
Sn (0.7500, 0.7988, 0.8099)  5 Se 2.91-3.07
Se (0.7500, 0.9024, 0.1125)  1 In 2.77, 3 Sn 2.91-3.07, 2 Ag 2.96
Se (0.2500, 0.0976, 0.8875)  1 In 2.77, 3 Sn 2.91-3.07, 2 Ag 2.96
Se (0.2500, 0.8023, 0.5238)  3 In 2.69-2.80
Se (0.7500, 0.1977, 0.4762)  3 In 2.69-2.80
Se (0.7500, 0.4733, 0.2044)  3 Ag 2.70-2.91, 1 In 2.76, 2 Sn 2.97
Se (0.2500, 0.5267, 0.7956)  3 Ag 2.70-2.91, 1 In 2.76, 2 Sn 2.97

***

Record 5
This record from Alexandria via LeMat-Bulk describes a relaxed InAgSn2Se6 crystal. The functional is GGA-PBE.

Results
ΔE_f (raw) ... -286 meV/atom
Size of the total moment ... 0.00 μB/cell

Cell lengths 7.3052, 9.6119, 9.6119 Å; angles 85.28, 73.20, 73.20 degrees
Last column: nearest neighbours and their distance in Å.
Element x y z (fractional)
In (0.2500, 0.1827, 0.8173)  4 Se 2.65-2.67
In (0.7500, 0.8173, 0.1827)  4 Se 2.65-2.67
Ag (0.2500, 0.7976, 0.2024)  4 Se 2.64-2.87
Ag (0.7500, 0.2024, 0.7976)  4 Se 2.64-2.87
Sn (0.2819, 0.7818, 0.6219)  4 Se 2.58-2.61
Sn (0.2181, 0.3781, 0.2182)  4 Se 2.58-2.61
Sn (0.7181, 0.2182, 0.3781)  4 Se 2.58-2.61
Sn (0.7819, 0.6219, 0.7818)  4 Se 2.58-2.61
Se (0.0833, 0.9676, 0.8289)  1 Sn 2.58, 1 In 2.67, 1 Ag 2.87
Se (0.4167, 0.1711, 0.0324)  1 Sn 2.58, 1 In 2.67, 1 Ag 2.87
Se (0.9167, 0.0324, 0.1711)  1 Sn 2.58, 1 In 2.67, 1 Ag 2.87
Se (0.5833, 0.8289, 0.9676)  1 Sn 2.58, 1 In 2.67, 1 Ag 2.87
Se (0.3966, 0.9078, 0.3738)  1 Sn 2.61, 1 Ag 2.64, 1 In 2.65
Se (0.1034, 0.6262, 0.0922)  1 Sn 2.61, 1 Ag 2.64, 1 In 2.65
Se (0.6034, 0.0922, 0.6262)  1 Sn 2.61, 1 Ag 2.64, 1 In 2.65
Se (0.8966, 0.3738, 0.9078)  1 Sn 2.61, 1 Ag 2.64, 1 In 2.65
Se (0.0189, 0.6913, 0.5489)  2 Sn 2.58-2.60
Se (0.4811, 0.4511, 0.3087)  2 Sn 2.58-2.60
Se (0.9811, 0.3087, 0.4511)  2 Sn 2.58-2.60
Se (0.5189, 0.5489, 0.6913)  2 Sn 2.58-2.60

***

Record 6
This record from Alexandria via LeMat-Bulk describes a relaxed InAgSnSe4 crystal. The functional is GGA-PBE.

Results
ΔE_f (raw) ... -389 meV/atom
Size of the total moment ... 0.00 μB/cell

Cell lengths 7.1539, 7.1539, 7.1539 Å; angles 130.70, 130.70, 72.30 degrees
Last column: nearest neighbours and their distance in Å.
Element x y z (fractional)
In (0.5000, 0.5000, 0.0000)  4 Se 2.65
Ag (0.2500, 0.7500, 0.5000)  4 Se 2.68
Sn (0.7500, 0.2500, 0.5000)  4 Se 2.59
Se (0.1069, 0.1209, 0.4560)  1 Sn 2.59, 1 In 2.65, 1 Ag 2.68
Se (0.6649, 0.6509, 0.5440)  1 Sn 2.59, 1 In 2.65, 1 Ag 2.68
Se (0.3491, 0.8931, 0.0140)  1 Sn 2.59, 1 In 2.65, 1 Ag 2.68
Se (0.8791, 0.3351, 0.9860)  1 Sn 2.59, 1 In 2.65, 1 Ag 2.68

***

Record 7
This record from Alexandria via LeMat-Bulk describes a relaxed InAgSn2Se crystal. The functional is GGA-PBE.

Results
ΔE_f (raw) ... 324 meV/atom
D(E_F) ... 2.9 states/eV/f.u.
Size of the total moment ... 0.00 μB/cell

Cell lengths 5.7180, 4.8430, 5.7180 Å; angles 90.00, 90.00, 90.00 degrees
Last column: nearest neighbours and their distance in Å.
Element x y z (fractional)
Se (0.0000, 0.0000, 0.0000)  2 Ag 2.42
Sn (0.0000, 0.0000, 0.5000)  2 Se 2.86
Sn (0.5000, 0.0000, 0.0000)  2 Se 2.86
Ag (0.0000, 0.5000, 0.0000)  2 Se 2.42
In (0.5000, 0.5000, 0.5000)  8 Sn 3.75, 4 Ag 4.04

***

Record 8
This record from Alexandria via LeMat-Bulk describes a relaxed Sr2InAgSe5 crystal. The functional is GGA-PBE.

Results
ΔE_f (raw) ... -979 meV/atom
D(E_F) ... 5.7 states/eV/f.u.
Size of the total moment ... 0.00 μB/cell

Cell lengths 4.2037, 9.6657, 12.7957 Å; angles 90.00, 90.00, 102.56 degrees
Last column: nearest neighbours and their distance in Å.
Element x y z (fractional)
Sr (0.8810, 0.7620, 0.7943)  8 Se 3.09-3.41
Sr (0.0997, 0.1994, 0.6366)  6 Se 3.01-3.20
Sr (0.1190, 0.2380, 0.2943)  8 Se 3.09-3.41
Sr (0.9003, 0.8006, 0.1366)  6 Se 3.01-3.20
In (0.5800, 0.1600, 0.9383)  4 Se 2.56-2.69
In (0.4200, 0.8400, 0.4383)  4 Se 2.56-2.69
Ag (0.7627, 0.5254, 0.5520)  5 Se 2.71-2.87
Ag (0.2373, 0.4746, 0.0520)  5 Se 2.71-2.87
Se (0.3791, 0.7583, 0.9716)  1 Ag 2.87, 4 Sr 3.01-3.09
Se (0.7219, 0.4439, 0.9203)  1 In 2.69, 2 Ag 2.71
Se (0.5135, 0.0269, 0.7636)  1 In 2.56
Se (0.2613, 0.5227, 0.6896)  2 Ag 2.74
Se (0.9388, 0.8777, 0.5577)  2 In 2.62
Se (0.6209, 0.2417, 0.4716)  1 Ag 2.87, 4 Sr 3.01-3.09
Se (0.2781, 0.5561, 0.4203)  1 In 2.69, 2 Ag 2.71
Se (0.4865, 0.9731, 0.2636)  1 In 2.56
Se (0.7387, 0.4773, 0.1896)  2 Ag 2.74
Se (0.0612, 0.1223, 0.0577)  2 In 2.62

***

Record 9
This record from Alexandria via LeMat-Bulk describes a relaxed Sr2InAgSe4 crystal. The functional is GGA-PBE.

Results
ΔE_f (raw) ... -1098 meV/atom
D(E_F) ... 2.5 states/eV/f.u.
Size of the total moment ... 0.00 μB/cell

Cell lengths 8.4586, 8.4586, 8.6810 Å; angles 120.86, 120.86, 88.22 degrees
Last column: nearest neighbours and their distance in Å.
Element x y z (fractional)
Sr (0.5000, 0.0000, 0.0000)  6 Se 3.06-3.10
Sr (0.5000, 0.0000, 0.5000)  6 Se 3.06-3.10
Sr (0.0000, 0.0000, 0.5000)  6 Se 3.14-3.16
Sr (0.5000, 0.5000, 0.0000)  6 Se 3.14-3.16
In (0.5000, 0.5000, 0.5000)  6 Se 2.73-2.94
In (0.0000, 0.0000, 0.0000)  6 Se 2.73-2.94
Ag (0.0000, 0.5000, 0.0000)  6 Se 2.83-2.99
Ag (0.0000, 0.5000, 0.5000)  6 Se 2.83-2.99
Se (0.2221, 0.7583, 0.9904)  1 In 2.73, 2 Ag 2.99
Se (0.7417, 0.2779, 0.5096)  1 In 2.73, 2 Ag 2.99
Se (0.2583, 0.7221, 0.4904)  1 In 2.73, 2 Ag 2.99
Se (0.7779, 0.2417, 0.0096)  1 In 2.73, 2 Ag 2.99
Se (0.7598, 0.7404, 0.9835)  1 Ag 2.83, 2 In 2.94, 3 Sr 3.06-3.14
Se (0.7596, 0.7402, 0.5165)  1 Ag 2.83, 2 In 2.94, 3 Sr 3.06-3.14
Se (0.2404, 0.2598, 0.4835)  1 Ag 2.83, 2 In 2.94, 3 Sr 3.06-3.14
Se (0.2402, 0.2596, 0.0165)  1 Ag 2.83, 2 In 2.94, 3 Sr 3.06-3.14

***

Record 10
This record from Alexandria via LeMat-Bulk describes a relaxed Tb3InAg3Se8 crystal. The functional is GGA-PBE.

Results
ΔE_f (raw) ... -977 meV/atom
D(E_F) ... 7.9 states/eV/f.u.
Size of the total moment ... 0.00 μB/cell

Cell lengths 8.2709, 8.2670, 8.0703 Å; angles 121.00, 90.00, 120.02 degrees
Last column: nearest neighbours and their distance in Å.
Element x y z (fractional)
Tb (0.5000, 0.0000, 0.5000)  6 Se 2.86-2.91
Tb (0.5000, 0.5000, 0.5000)  6 Se 2.87-2.91
Tb (0.0000, 0.5000, 0.5000)  6 Se 2.87-2.91
In (0.0000, 0.0000, 0.5000)  6 Se 2.80
Ag (0.0000, 0.0000, 0.0000)  6 Se 2.87-2.89
Ag (0.0000, 0.5000, 0.0000)  6 Se 2.86-2.91
Ag (0.5000, 0.5000, 0.0000)  6 Se 2.86-2.91
Se (0.2514, 0.5028, 0.2556)  3 Tb 2.86-2.87, 3 Ag 2.89-2.91
Se (0.7486, 0.4972, 0.7444)  3 Tb 2.86-2.87, 3 Ag 2.89-2.91
Se (0.7568, 0.5136, 0.2542)  1 In 2.80, 2 Ag 2.87, 2 Tb 2.91
Se (0.2432, 0.4864, 0.7458)  1 In 2.80, 2 Ag 2.87, 2 Tb 2.91
Se (0.7566, 0.9959, 0.2540)  1 In 2.80, 2 Ag 2.86-2.87, 2 Tb 2.91
Se (0.2434, 0.0041, 0.7460)  1 In 2.80, 2 Ag 2.86-2.87, 2 Tb 2.91
Se (0.2393, 0.9959, 0.2540)  1 In 2.80, 2 Ag 2.86-2.87, 2 Tb 2.91
Se (0.7607, 0.0041, 0.7460)  1 In 2.80, 2 Ag 2.86-2.87, 2 Tb 2.91

***

Record 11
This record from Alexandria via LeMat-Bulk describes a relaxed Tb3InAg4Se8 crystal. The functional is GGA-PBE.

Results
ΔE_f (raw) ... -942 meV/atom
D(E_F) ... 3.0 states/eV/f.u.
Size of the total moment ... 0.00 μB/cell

Cell lengths 8.2978, 8.1597, 8.3103 Å; angles 121.49, 119.95, 90.00 degrees
Last column: nearest neighbours and their distance in Å.
Element x y z (fractional)
Tb (0.5000, 0.5000, 0.0000)  6 Se 2.87-2.91
Tb (0.5000, 0.5000, 0.5000)  6 Se 2.88-2.91
Tb (0.0000, 0.5000, 0.5000)  6 Se 2.88-2.91
In (0.0000, 0.5000, 0.0000)  6 Se 2.83-2.92
Ag (0.5000, 0.0000, 0.0000)  6 Se 2.83-2.99
Ag (0.5000, 0.0000, 0.5000)  6 Se 2.85-2.94
Ag (0.0000, 0.0000, 0.0000)  6 Se 2.88-2.91
Ag (0.0000, 0.0000, 0.5000)  6 Se 2.85-2.94
Se (0.2455, 0.7456, 0.0048)  1 In 2.83, 3 Ag 2.85-2.99, 2 Tb 2.91
Se (0.2537, 0.7526, 0.5073)  3 Ag 2.83-2.92, 2 Tb 2.90, 1 In 2.92
Se (0.2506, 0.2562, 0.5011)  3 Tb 2.87-2.88, 3 Ag 2.88-2.94
Se (0.7593, 0.7456, 0.0048)  1 In 2.83, 3 Ag 2.85-2.99, 2 Tb 2.91
Se (0.2407, 0.2544, 0.9952)  1 In 2.83, 3 Ag 2.85-2.99, 2 Tb 2.91
Se (0.7494, 0.7438, 0.4989)  3 Tb 2.87-2.88, 3 Ag 2.88-2.94
Se (0.7463, 0.2474, 0.4927)  3 Ag 2.83-2.92, 2 Tb 2.90, 1 In 2.92
Se (0.7545, 0.2544, 0.9952)  1 In 2.83, 3 Ag 2.85-2.99, 2 Tb 2.91

***

Record 12
This record from Alexandria via LeMat-Bulk describes a relaxed In2AgTeSe crystal. The functional is GGA-PBE.

Results
ΔE_f (raw) ... 493 meV/atom
D(E_F) ... 2.9 states/eV/f.u.
Size of the total moment ... 0.00 μB/cell

Cell lengths 5.9399, 5.4005, 5.9399 Å; angles 90.00, 90.00, 90.00 degrees
Last column: nearest neighbours and their distance in Å.
Element x y z (fractional)
Te (0.0000, 0.0000, 0.0000)  2 Se 2.70, 4 In 2.97
Se (0.0000, 0.5000, 0.0000)  2 Te 2.70
Ag (0.5000, 0.5000, 0.5000)  8 In 4.01, 4 Se 4.20
In (0.0000, 0.0000, 0.5000)  2 Te 2.97
In (0.5000, 0.0000, 0.0000)  2 Te 2.97

***

- Which of these has the highest ΔE_f (raw)?
  In2AgTeSe